This record from Alexandria describes a relaxed structure of CsSnI2. The functional is GGA-PBE.

The density of states at the Fermi level is 2.143 states/eV/f.u. Its energy above the most stable polymorph in this dataset is 0.141 eV per atom. The formation energy (no corrections) is -0.460 eV/atom.

Lattice parameters (Å, degrees): 5.0825 5.0825 31.6874 90.00 90.00 120.00
Space group R-3m (No. 166, hexagonal axes)
One atom of each set of equivalent atoms:
Cs 0.0000 0.0000 0.0000
Sn 0.0000 0.0000 0.5000
I 0.0000 0.0000 0.1176

***

This record from Alexandria describes a relaxed structure of CsSn4I12. The functional is GGA-PBE.

The density of states at the Fermi level is 12.876 states/eV/f.u. The formation energy (no corrections) is -0.485 eV/atom.

Lattice parameters (Å, degrees): 11.596 11.596 11.596 90.00 90.00 90.00
Space group Im-3 (No. 204)
One atom of each set of equivalent atoms:
Cs 0.000 0.000 0.000
Sn 0.250 0.250 0.250
I 0.000 0.305 0.183

***

This record from Alexandria describes a relaxed structure of Cs3Sn2I7. The functional is GGA-PBE.

The formation energy (no corrections) is -1.043 eV/atom.

Lattice parameters (Å, degrees): 6.277 6.277 31.780 90.00 90.00 90.00
Space group I4/mmm (No. 139)
One atom of each set of equivalent atoms:
Cs 0.000 0.000 0.000
Cs 0.000 0.000 0.179
Sn 0.000 0.000 0.399
I 0.000 0.000 0.301
I 0.000 0.000 0.500
I 0.000 0.500 0.097

***

This record from Alexandria describes a relaxed structure of Cs2SnI4. The functional is GGA-PBE.

The density of states at the Fermi level is 0.000 states/eV/f.u. Its energy above the most stable polymorph in this dataset is 0.024 eV per atom. The formation energy (no corrections) is -1.089 eV/atom.

Lattice parameters (Å, degrees): 8.774 8.185 11.169 90.00 108.63 90.00
Space group P2_1/m (No. 11)
One atom of each set of equivalent atoms:
Cs 0.097 0.250 0.418
Cs 0.272 0.750 0.061
Sn 0.474 0.750 0.658
I 0.200 0.750 0.390
I 0.205 0.250 0.101
I 0.313 0.005 0.753